Density functional theory data (PBE with a Hubbard U) for an optimized crystal structure of Er2FeSbO7.

```
data_Er2FeSbO7
_chemical_formula_sum 'Er8 Fe4 Sb4 O28'
_space_group_name_H-M_alt 'I m m a'
_space_group_IT_number 74
_space_group_name_Hall '-I 2b 2'
_cell_length_a 7.217
_cell_length_b 7.331
_cell_length_c 10.250
_cell_angle_alpha 90.00
_cell_angle_beta 90.00
_cell_angle_gamma 90.00
loop_
_atom_site_label
_atom_site_type_symbol
_atom_site_fract_x
_atom_site_fract_y
_atom_site_fract_z
_atom_site_occupancy
Er1 Er 0.000 0.000 0.000 1
Er2 Er 0.250 0.250 0.250 1
Fe1 Fe 0.250 0.250 0.750 1
Sb1 Sb 0.000 0.000 0.500 1
O1 O 0.000 0.250 0.127 1
O2 O 0.000 0.250 0.419 1
O3 O 0.000 0.250 0.842 1
O4 O 0.206 0.034 0.626 1
```

DOS(E_F)   0.0 states/eV per cell
E_tot   -7.3726 eV per atom
ρ   7.64 Mg/m³
Volume   12.3 Å³ per atom